{
  "formula": "MgSiOs2",
  "functional": "PBE",
  "state": "optimized geometry",
  "raw_formation_energy_ev_per_atom": 0.268,
  "lattice": [[2.9402, 0.0000, 0.0000], [0.0000, 4.7482, 0.0000], [0.0000, 0.0000, 4.1360]],
  "species": ["Mg", "Os", "Os", "Si"],
  "frac_coords": [[0.0000, 0.5000, 0.5000], [0.0000, 0.0000, 0.0000], [0.5000, 0.5000, 0.0000], [0.5000, 0.0000, 0.5000]]
}